Computed, not measured: a relaxed structure of FeSi2As at the PBEsol level of DFT.

Cell: 8.8164 8.8164 8.8164 Å, 18.04 18.04 18.04°
Last column: nearest neighbours and their distance in Å.
Fractional positions:
Fe: 0.0000 0.0000 0.0000  3 Si 2.34, 3 As 2.40
Si: 0.4815 0.4815 0.4815  9 Si 2.67-2.77
Si: 0.7327 0.7327 0.7327  3 Fe 2.34
As: 0.2646 0.2646 0.2646  3 Fe 2.40

Energy relative to the lowest polymorph listed for this composition in meV per atom: 69
SG: R3m
ΔE_f (raw) in eV/f.u.: 0.325

***

Computed, not measured: a relaxed structure of FeSi2As at the PBEsol level of DFT.

Cell: 4.3184 4.3184 4.3184 Å, 124.36 124.36 82.60°
Last column: nearest neighbours and their distance in Å.
Fractional positions:
Fe: 0.0000 0.0000 0.0000  4 As 2.59, 8 Si 2.59-2.85
Si: 0.5000 0.5000 0.0000  4 As 2.59, 4 Si 2.59, 4 Fe 2.85
Si: 0.7500 0.2500 0.5000  4 Si 2.59, 4 Fe 2.59, 4 As 2.85
As: 0.2500 0.7500 0.5000  8 Si 2.59-2.85, 4 Fe 2.59

Energy relative to the lowest polymorph listed for this composition in meV per atom: 309
SG: I-4m2
ΔE_f (raw) in eV/f.u.: 1.288

***

Computed, not measured: a relaxed structure of TaFe2SiAs at the PBEsol level of DFT.

Cell: 4.0800 4.0800 4.7304 Å, 90.00 90.00 90.00°
Last column: nearest neighbours and their distance in Å.
Fractional positions:
Ta: 0.0000 0.0000 0.0000  4 As 2.88, 8 Fe 3.12
Fe: 0.0000 0.5000 0.5000  2 Si 2.04
Fe: 0.5000 0.0000 0.5000  2 Si 2.04
Si: 0.5000 0.5000 0.5000  4 Fe 2.04
As: 0.5000 0.5000 0.0000  2 Si 2.37

SG: P4/mmm
ΔE_f (raw) in eV/f.u.: 4.691

***

Computed, not measured: a relaxed structure of FeSn2As2 at the PBEsol level of DFT.

Cell: 8.8408 8.8408 8.8408 Å, 157.09 157.09 32.63°
Last column: nearest neighbours and their distance in Å.
Fractional positions:
Fe: 0.0000 0.0000 0.0000  8 Sn 2.89
Sn: 0.4125 0.4125 0.0000  4 Fe 2.89, 1 Sn 2.97
Sn: 0.5875 0.5875 0.0000  4 Fe 2.89, 1 Sn 2.97
As: 0.2500 0.7500 0.5000  4 As 2.48
As: 0.7500 0.2500 0.5000  4 As 2.48

SG: I4/mmm
Uncorrected energy in eV per cell: -25.62

***

Computed, not measured: a relaxed structure of SrFe2As at the PBEsol level of DFT.

Cell: 4.6245 4.6245 4.6245 Å, 60.00 60.00 60.00°
Last column: nearest neighbours and their distance in Å.
Fractional positions:
Sr: 0.0000 0.0000 0.0000  4 As 2.83, 4 Fe 2.83
Fe: 0.5000 0.5000 0.5000  4 Fe 2.83, 4 As 2.83
Fe: 0.7500 0.7500 0.7500  4 Fe 2.83, 4 Sr 2.83
As: 0.2500 0.2500 0.2500  4 Fe 2.83, 4 Sr 2.83

SG: F-43m
Uncorrected energy in eV per cell: -23.02

***

Computed, not measured: a relaxed structure of SrFe2As2 at the PBEsol level of DFT.

Cell: 6.2515 6.2515 6.2515 Å, 143.36 143.36 52.79°
Last column: nearest neighbours and their distance in Å.
Fractional positions:
Sr: 0.0000 0.0000 0.0000  8 As 3.22, 8 Fe 3.42
Fe: 0.2500 0.7500 0.5000  4 As 2.29
Fe: 0.7500 0.2500 0.5000  4 As 2.29
As: 0.3541 0.3541 0.0000  4 Fe 2.29
As: 0.6459 0.6459 0.0000  4 Fe 2.29

SG: I4/mmm
Uncorrected energy in eV per cell: -32.92

***

Computed, not measured: a relaxed structure of SrFe2As at the PBEsol level of DFT.

Cell: 3.2688 3.2688 6.6048 Å, 90.00 90.00 90.00°
Last column: nearest neighbours and their distance in Å.
Fractional positions:
Sr: 0.0000 0.0000 0.0000  8 Fe 3.19, 4 Sr 3.27, 2 As 3.30
Fe: 0.5000 0.5000 0.3318  1 Fe 2.22
Fe: 0.5000 0.5000 0.6682  1 Fe 2.22
As: 0.0000 0.0000 0.5000  8 Fe 2.56

SG: P4/mmm
Uncorrected energy in eV per cell: -23.56

***

Computed, not measured: a relaxed structure of SrTa2FeAs at the PBEsol level of DFT.

Cell: 4.7559 4.7559 5.4444 Å, 90.00 90.00 90.00°
Last column: nearest neighbours and their distance in Å.
Fractional positions:
Sr: 0.0000 0.0000 0.0000  2 As 2.72
Ta: 0.0000 0.5000 0.5000  2 As 2.38
Ta: 0.5000 0.0000 0.5000  2 As 2.38
Fe: 0.5000 0.5000 0.0000  4 Sr 3.36, 8 Ta 3.61
As: 0.0000 0.0000 0.5000  4 Ta 2.38

SG: P4/mmm
Uncorrected energy in eV per cell: -34.88

***

Computed, not measured: a relaxed structure of TaFeAs2 at the PBEsol level of DFT.

Cell: 4.3587 4.3587 4.3587 Å, 60.00 60.00 60.00°
Last column: nearest neighbours and their distance in Å.
Fractional positions:
Ta: 0.0000 0.0000 0.0000  8 As 2.67
Fe: 0.5000 0.5000 0.5000  8 As 2.67
As: 0.2500 0.2500 0.2500  4 Ta 2.67, 4 Fe 2.67
As: 0.7500 0.7500 0.7500  4 Ta 2.67, 4 Fe 2.67

SG: Fm-3m
Uncorrected energy in eV per cell: -31.75

***

Computed, not measured: a relaxed structure of TaFeAs2 at the PBEsol level of DFT.

Cell: 3.0902 3.6278 5.4175 Å, 90.00 90.00 90.00°
Last column: nearest neighbours and their distance in Å.
Fractional positions:
Ta: 0.0000 0.0000 0.0000  8 As 2.73
Fe: 0.5000 0.0000 0.5000  4 As 2.27
As: 0.5000 0.5000 0.2473  2 Fe 2.27
As: 0.5000 0.5000 0.7527  2 Fe 2.27

SG: Pmmm
Uncorrected energy in eV per cell: -31.74

***

Computed, not measured: a relaxed structure of Ta3FeAs at the PBEsol level of DFT.

Cell: 4.5308 4.5308 4.5308 Å, 90.00 90.00 90.00°
Last column: nearest neighbours and their distance in Å.
Fractional positions:
Ta: 0.0000 0.0000 0.5000  2 Fe 2.27
Ta: 0.0000 0.5000 0.0000  2 Fe 2.27
Ta: 0.5000 0.0000 0.0000  2 Fe 2.27
Fe: 0.0000 0.0000 0.0000  6 Ta 2.27
As: 0.5000 0.5000 0.5000  12 Ta 3.20

SG: Pm-3m
Uncorrected energy in eV per cell: -48.13

***

Computed, not measured: a relaxed structure of FeTeAs at the PBEsol level of DFT.

Cell: 6.3501 6.3501 6.3501 Å, 152.61 152.61 39.12°
Last column: nearest neighbours and their distance in Å.
Fractional positions:
Fe: 0.0000 0.0000 0.0000  4 As 2.54, 4 Te 2.70
Te: 0.6386 0.6386 0.0000  4 Fe 2.70, 4 Te 3.01
As: 0.3837 0.3837 0.0000  4 Fe 2.54

SG: I4mm
ΔE_f (raw) in eV/f.u.: 0.348